Entry 1:
Entry from Alexandria: a geometry-optimized Rb2TmIr3O12 structure (PBE).

```
18
Lattice="3.650 2.107 6.293 -3.650 2.107 6.293 0.000 -4.215 6.293" Properties=species:S:1:pos:R:3 pbc="T T T"
Rb 0.000 0.000 2.147
Rb 0.000 0.000 16.732
Tm 0.000 0.000 9.440
Ir -1.825 -1.054 6.293
Ir -1.825 1.054 12.587
Ir 0.000 2.107 6.293
O -1.538 -0.888 8.151
O 0.000 -1.670 6.022
O -1.446 0.835 6.022
O -1.446 -0.835 12.858
O 0.000 -1.776 10.729
O -1.538 0.888 10.729
O 1.538 -0.888 8.151
O 0.000 1.776 8.151
O 1.446 0.835 6.022
O 1.446 -0.835 12.858
O 0.000 1.670 12.858
O 1.538 0.888 10.729
```

Values from the calculation:
Raw total energy   -6.345 eV/atom

***

Entry 2:
Entry from Alexandria: a geometry-optimized Rb2U3IrO12 structure (PBE).

```
18
Lattice="3.957 2.285 6.077 -3.957 2.285 6.077 0.000 -4.569 6.077" Properties=species:S:1:pos:R:3 pbc="T T T"
Rb 0.000 0.000 2.354
Rb 0.000 0.000 15.877
U -1.979 -1.142 6.077
U -1.979 1.142 12.154
U 0.000 2.285 6.077
Ir 0.000 0.000 9.115
O 0.000 -1.747 5.574
O -1.513 0.874 5.574
O -1.418 -0.819 7.995
O -1.513 -0.874 12.657
O 0.000 -1.637 10.235
O -1.418 0.819 10.235
O 1.418 -0.819 7.995
O 0.000 1.637 7.995
O 1.513 0.874 5.574
O 1.418 0.819 10.235
O 1.513 -0.874 12.657
O 0.000 1.747 12.657
```

Values from the calculation:
Raw total energy   -8.311 eV/atom

***

Energy relative to the elements, uncorrected, respectively: -1.2063 -2.5247 eV/atom.